Density functional theory data (GGA-PBE) for a relaxed Y2ZrMo crystal.

abc: 7.2226 7.2226 7.2226
angles: 90.00 90.00 90.00
Space group F-43m (No. 216)
Unique sites:
1 Y 0.0000 0.0000 0.0000 (multiplicity 4)
2 Y 0.2500 0.2500 0.2500 (multiplicity 4)
3 Zr 0.0000 0.0000 0.5000 (multiplicity 4)
4 Mo 0.2500 0.2500 0.7500 (multiplicity 4)

Results
E, eV/atom: -7.740
Energy of formation from the pure elements, eV per atom: 0.341

=====

Density functional theory data (GGA-PBE) for a relaxed ScFeCoB crystal.

abc: 5.7518 5.7518 5.7518
angles: 90.00 90.00 90.00
Space group F-43m (No. 216)
Unique sites:
1 Sc 0.0000 0.0000 0.0000 (multiplicity 4)
2 Fe 0.2500 0.2500 0.7500 (multiplicity 4)
3 Co 0.0000 0.0000 0.5000 (multiplicity 4)
4 B 0.2500 0.2500 0.2500 (multiplicity 4)

Results
E, eV/atom: -6.959
Energy above the lowest structure with this stoichiometry, meV per atom: 23

=====

Density functional theory data (GGA-PBE) for a relaxed SmEr2Al7Cu2 crystal.

abc: 5.4846 5.4846 25.4701
angles: 90.00 90.00 120.00
Space group R-3m (No. 166, hexagonal axes)
Unique sites:
1 Sm 0.0000 0.0000 0.0000 (multiplicity 3)
2 Er 0.0000 0.0000 0.1421 (multiplicity 6)
3 Al 0.0000 0.0000 0.5000 (multiplicity 3)
4 Al 0.0062 0.5031 0.9205 (multiplicity 18)
5 Cu 0.0000 0.0000 0.3351 (multiplicity 6)

Results
E, eV/atom: -4.451

=====

Density functional theory data (GGA-PBE) for a relaxed HoCo4Sb3 crystal.

abc: 5.2199 3.9374 6.7918
angles: 90.00 90.06 90.00
Space group Pm (No. 6)
Unique sites:
1 Ho 0.0000 0.0000 0.0000 (multiplicity 1)
2 Co 0.2512 0.5000 0.2039 (multiplicity 1)
3 Co 0.2594 0.0000 0.6585 (multiplicity 1)
4 Co 0.7356 0.0000 0.6601 (multiplicity 1)
5 Co 0.7457 0.5000 0.2018 (multiplicity 1)
6 Sb 0.4974 0.5000 0.8576 (multiplicity 1)
7 Sb 0.4999 0.0000 0.3317 (multiplicity 1)
8 Sb 0.9968 0.5000 0.5230 (multiplicity 1)

Results
E, eV/atom: -5.843